Entry from Alexandria: an optimized crystal structure of HfTlC3 (PBE-GGA).

Lattice parameters (Å, degrees): 4.2292 4.2292 4.2292 90.00 90.00 90.00
Atoms (fractional coordinates):
C 0.0000 0.0000 0.5000
C 0.5000 0.0000 0.0000
C 0.0000 0.5000 0.0000
Hf 0.5000 0.5000 0.5000
Tl 0.0000 0.0000 0.0000

Results
* total moment: 0.00 Bohr magnetons per cell
* N(E_F): 0.6881 states/eV/atom
* energy of formation from the pure elements: 2.94 eV/atom

---

Entry from Alexandria: an optimized crystal structure of HfTlC (PBE-GGA).

Lattice parameters (Å, degrees): 3.7583 3.7583 10.5690 79.76 79.76 60.00
Atoms (fractional coordinates):
C 0.2999 0.2999 0.1004
C 0.7001 0.7001 0.8996
Hf 0.6294 0.6294 0.1117
Hf 0.3706 0.3706 0.8883
Tl 0.8757 0.8757 0.3730
Tl 0.1243 0.1243 0.6270

Results
* total moment: 0.00 Bohr magnetons per cell
* N(E_F): 0.5532 states/eV/atom
* energy of formation from the pure elements: -0.08 eV/atom

---

Entry from Alexandria: an optimized crystal structure of Hf5TlC (PBE-GGA).

Lattice parameters (Å, degrees): 5.9573 5.9573 9.7423 71.89 71.89 61.49
Atoms (fractional coordinates):
Hf 0.8205 0.4276 0.4552
Hf 0.0282 0.9718 0.7500
Hf 0.3864 0.0032 0.3763
Hf 0.0032 0.3864 0.8763
Hf 0.9718 0.0282 0.2500
Hf 0.5724 0.1795 0.0448
Hf 0.4276 0.8205 0.9552
Hf 0.6136 0.9968 0.6237
Hf 0.9968 0.6136 0.1237
Hf 0.1795 0.5724 0.5448
C 0.0000 0.0000 0.0000
C 0.0000 0.0000 0.5000
Tl 0.5176 0.4824 0.7500
Tl 0.4824 0.5176 0.2500

Results
* total moment: 0.00 Bohr magnetons per cell
* N(E_F): 0.9057 states/eV/atom
* energy of formation from the pure elements: -0.06 eV/atom

---

Entry from Alexandria: an optimized crystal structure of HfTlC3 (PBE-GGA).

Lattice parameters (Å, degrees): 4.4004 4.4004 4.4004 90.00 90.00 90.00
Atoms (fractional coordinates):
Tl 0.5000 0.5000 0.5000
C 0.0000 0.0000 0.5000
C 0.0000 0.5000 0.0000
C 0.5000 0.0000 0.0000
Hf 0.0000 0.0000 0.0000

Results
* total moment: 0.00 Bohr magnetons per cell
* N(E_F): 0.3730 states/eV/atom
* energy of formation from the pure elements: 1.89 eV/atom

---

Entry from Alexandria: an optimized crystal structure of HfTlC2 (PBE-GGA).

Lattice parameters (Å, degrees): 5.3879 5.3879 6.1210 63.89 63.89 90.00
Atoms (fractional coordinates):
Hf 0.2500 0.7500 0.5000
Hf 0.5000 0.5000 0.0000
Tl 0.7500 0.2500 0.5000
Tl 0.0000 0.0000 0.0000
C 0.8750 0.8480 0.7500
C 0.3750 0.4020 0.7500
C 0.5980 0.1250 0.2500
C 0.1520 0.6250 0.2500

Results
* total moment: 0.00 Bohr magnetons per cell
* N(E_F): 0.5599 states/eV/atom
* energy of formation from the pure elements: 0.92 eV/atom

---

Entry from Alexandria: an optimized crystal structure of Hf2TlC (PBE-GGA).

Lattice parameters (Å, degrees): 3.3459 3.3459 7.6792 77.42 77.42 60.00
Atoms (fractional coordinates):
Tl 0.5000 0.5000 0.5000
C 0.0000 0.0000 0.0000
Hf 0.2791 0.2791 0.1626
Hf 0.7209 0.7209 0.8374

Results
* total moment: 0.00 Bohr magnetons per cell
* N(E_F): 0.0780 states/eV/atom
* energy of formation from the pure elements: -0.61 eV/atom

---

Entry from Alexandria: an optimized crystal structure of Hf2TlC (PBE-GGA).

Lattice parameters (Å, degrees): 3.3440 3.3440 14.9115 90.00 90.00 120.00
Atoms (fractional coordinates):
Hf 0.6667 0.3333 0.5809
Hf 0.6667 0.3333 0.9191
Hf 0.3333 0.6667 0.4191
Hf 0.3333 0.6667 0.0809
Tl 0.3333 0.6667 0.7500
Tl 0.6667 0.3333 0.2500
C 0.0000 0.0000 0.5000
C 0.0000 0.0000 0.0000

Results
* total moment: 0.00 Bohr magnetons per cell
* N(E_F): 0.2262 states/eV/atom
* energy of formation from the pure elements: -0.63 eV/atom

---

Entry from Alexandria: an optimized crystal structure of Hf2Tl2C (PBE-GGA).

Lattice parameters (Å, degrees): 3.7802 3.7802 8.1763 76.63 76.63 90.00
Atoms (fractional coordinates):
Hf 0.4142 0.4142 0.1716
Hf 0.5858 0.5858 0.8284
C 0.0000 0.0000 0.0000
Tl 0.2500 0.7500 0.5000
Tl 0.7500 0.2500 0.5000

Results
* total moment: 0.00 Bohr magnetons per cell
* N(E_F): 1.0062 states/eV/atom
* energy of formation from the pure elements: 1.43 eV/atom

---

Entry from Alexandria: an optimized crystal structure of Hf2TlC (PBE-GGA).

Lattice parameters (Å, degrees): 6.7820 6.7820 5.8630 54.66 54.66 90.00
Atoms (fractional coordinates):
Hf 0.5366 0.1250 0.2500
Hf 0.2134 0.6250 0.2500
Hf 0.3750 0.4634 0.7500
Hf 0.8750 0.7866 0.7500
C 0.2500 0.7500 0.5000
C 0.5000 0.5000 0.0000
Tl 0.0000 0.0000 0.0000
Tl 0.7500 0.2500 0.5000

Results
* total moment: 0.00 Bohr magnetons per cell
* N(E_F): 1.1919 states/eV/atom
* energy of formation from the pure elements: 0.08 eV/atom

---

Entry from Alexandria: an optimized crystal structure of Hf2Tl2C (PBE-GGA).

Lattice parameters (Å, degrees): 6.2390 6.2390 5.2691 90.00 90.00 90.00
Atoms (fractional coordinates):
Tl 0.8339 0.3339 0.5000
Tl 0.1661 0.6661 0.5000
Tl 0.3339 0.1661 0.5000
Tl 0.6661 0.8339 0.5000
C 0.5000 0.5000 0.0000
C 0.0000 0.0000 0.0000
Hf 0.8225 0.6775 0.0000
Hf 0.6775 0.1775 0.0000
Hf 0.1775 0.3225 0.0000
Hf 0.3225 0.8225 0.0000

Results
* total moment: 0.00 Bohr magnetons per cell
* N(E_F): 0.1034 states/eV/atom
* energy of formation from the pure elements: 0.07 eV/atom

---

Entry from Alexandria: an optimized crystal structure of Hf2TlC (PBE-GGA).

Lattice parameters (Å, degrees): 3.3349 3.3349 7.7527 77.58 77.58 60.00
Atoms (fractional coordinates):
Tl 0.4997 0.4997 0.5008
Hf 0.2791 0.2791 0.1626
Hf 0.0534 0.0534 0.8397
C 0.6677 0.6677 0.9970

Results
* total moment: 0.00 Bohr magnetons per cell
* N(E_F): 0.2202 states/eV/atom
* energy of formation from the pure elements: -0.61 eV/atom

---

Entry from Alexandria: an optimized crystal structure of HfZrTlC (PBE-GGA).

Lattice parameters (Å, degrees): 3.3592 3.3580 7.8059 90.00 102.43 119.99
Atoms (fractional coordinates):
Tl 0.9679 0.3822 0.3643
C 0.3076 0.5517 0.8748
Zr 0.5265 0.1611 0.7032
Hf 0.0760 0.9359 0.0273

Results
* total moment: 0.00 Bohr magnetons per cell
* N(E_F): 0.2620 states/eV/atom
* energy of formation from the pure elements: -0.61 eV/atom